# 1
Compound: Li3MgPb
Source: Alexandria via LeMat-Bulk
Functional: GGA-PBE
Structure: relaxed

abc: 5.7092 5.7092 11.3215
angles: 90.00 90.00 120.00
Closest atoms and distances in Å follow each position.
Space group R3m (No. 160, hexagonal axes)
Inequivalent atoms, fractional coordinates:
Li 0.0036 0.5018 0.0000 [9 per cell]  4 Li 2.82-2.89, 1 Mg 2.85, 1 Pb 2.86
Mg 0.0000 0.0000 0.8707 [3 per cell]  3 Li 2.85, 1 Pb 2.89
Pb 0.0000 0.0000 0.1256 [3 per cell]  9 Li 2.86-3.19, 1 Mg 2.89

Calculated values
ΔE to the lowest computed polymorph = 46 meV/atom

# 2
Compound: Li7Mg2Pb
Source: Alexandria via LeMat-Bulk
Functional: GGA-PBE
Structure: relaxed

abc: 4.8068 4.8068 10.0611
angles: 90.00 90.00 120.00
Closest atoms and distances in Å follow each position.
Space group P3m1 (No. 156)
Inequivalent atoms, fractional coordinates:
Li 0.0000 0.0000 0.0000 [1 per cell]  1 Li 2.29
Li 0.0000 0.0000 0.2275 [1 per cell]  2 Li 2.29-2.45
Li 0.0000 0.0000 0.4707 [1 per cell]  1 Li 2.45, 1 Mg 2.63
Li 0.3333 0.6667 0.2715 [1 per cell]  4 Li 2.81-2.99, 3 Pb 3.10
Li 0.3333 0.6667 0.9745 [1 per cell]  4 Li 2.79-2.99
Li 0.6667 0.3333 0.4536 [1 per cell]  3 Li 2.78
Li 0.6667 0.3333 0.8229 [1 per cell]  3 Mg 2.92, 1 Pb 3.14, 3 Li 3.17
Mg 0.0000 0.0000 0.7324 [1 per cell]  5 Li 2.63-2.92
Mg 0.3333 0.6667 0.6085 [1 per cell]  3 Mg 3.04, 7 Li 3.10-3.39
Pb 0.6667 0.3333 0.1349 [1 per cell]  14 Li 2.93-3.21

Calculated values
ΔE to the lowest computed polymorph = 0 meV/atom

# 3
Compound: Li3Mg2Pb6
Source: Alexandria via LeMat-Bulk
Functional: GGA-PBE
Structure: relaxed

abc: 4.7559 4.7559 26.1487
angles: 90.00 90.00 90.00
Closest atoms and distances in Å follow each position.
Space group I4/mmm (No. 139)
Inequivalent atoms, fractional coordinates:
Li 0.0000 0.0000 0.0000 [2 per cell]  8 Pb 2.93
Li 0.0000 0.0000 0.1287 [4 per cell]  5 Pb 2.73-2.89
Mg 0.0000 0.0000 0.3464 [4 per cell]  5 Pb 2.96-3.31
Pb 0.0000 0.0000 0.2331 [4 per cell]  1 Li 2.73, 1 Mg 2.96
Pb 0.0000 0.5000 0.0656 [8 per cell]  4 Li 2.89-2.93

# 4
Compound: Li8MgPb2
Source: Alexandria via LeMat-Bulk
Functional: GGA-PBE
Structure: relaxed

abc: 4.9823 6.0522 8.1496
angles: 111.33 107.70 90.38
Closest atoms and distances in Å follow each position.
Space group P-1 (No. 2)
Inequivalent atoms, fractional coordinates:
Li 0.1216 0.4075 0.2702 [2 per cell]  6 Li 2.77-3.09, 3 Pb 2.98-3.10
Li 0.1507 0.8656 0.2724 [2 per cell]  6 Li 2.76-3.07, 2 Pb 2.98-3.00
Li 0.2626 0.0416 0.9990 [2 per cell]  2 Li 2.42-2.67
Li 0.2916 0.2915 0.5860 [2 per cell]  6 Li 2.79-3.09, 1 Mg 2.97, 4 Pb 2.98-3.06
Mg 0.5000 0.5000 0.0000 [1 per cell]  4 Li 2.97-3.01
Pb 0.3228 0.8188 0.6429 [2 per cell]  12 Li 2.83-3.13

Calculated values
ΔE to the lowest computed polymorph = 24 meV/atom

# 5
Compound: LiMg6Pb
Source: Alexandria via LeMat-Bulk
Functional: GGA-PBE
Structure: relaxed

abc: 6.4875 6.4875 5.0871
angles: 90.00 90.00 120.00
Closest atoms and distances in Å follow each position.
Space group P-6m2 (No. 187)
Inequivalent atoms, fractional coordinates:
Li 0.0000 0.0000 0.0000 [1 per cell]  12 Mg 3.13-3.24
Mg 0.3251 0.1626 0.5000 [3 per cell]  2 Li 3.13, 8 Mg 3.15-3.32, 2 Pb 3.24
Mg 0.5058 0.0116 0.0000 [3 per cell]  8 Mg 3.13-3.36, 2 Pb 3.20, 2 Li 3.24
Pb 0.3333 0.6667 0.5000 [1 per cell]  12 Mg 3.20-3.24

Calculated values
ΔE to the lowest computed polymorph = 23 meV/atom

# 6
Compound: Li4MgPb5
Source: Alexandria via LeMat-Bulk
Functional: GGA-PBE
Structure: relaxed

abc: 3.6019 3.6019 17.9926
angles: 90.00 90.00 90.00
Closest atoms and distances in Å follow each position.
Space group P4/mmm (No. 123)
Inequivalent atoms, fractional coordinates:
Li 0.0000 0.0000 0.0960 [2 per cell]  8 Pb 3.08-3.09
Li 0.0000 0.0000 0.2885 [2 per cell]  8 Pb 3.07-3.14
Mg 0.0000 0.0000 0.5000 [1 per cell]  8 Pb 3.22, 4 Mg 3.60
Pb 0.5000 0.5000 0.0000 [1 per cell]  8 Li 3.08
Pb 0.5000 0.5000 0.1935 [2 per cell]  8 Li 3.07-3.09
Pb 0.5000 0.5000 0.3908 [2 per cell]  4 Li 3.14, 4 Mg 3.22

# 7
Compound: Li3Mg2Pb2
Source: Alexandria via LeMat-Bulk
Functional: GGA-PBE
Structure: relaxed

abc: 4.5526 5.0957 7.4092
angles: 82.10 88.93 64.07
Closest atoms and distances in Å follow each position.
Space group P-1 (No. 2)
Inequivalent atoms, fractional coordinates:
Li 0.0000 0.0000 0.0000 [1 per cell]  6 Mg 3.03-3.09, 2 Li 3.25, 4 Pb 3.26-3.27
Li 0.1334 0.7326 0.4312 [2 per cell]  1 Li 2.79, 2 Pb 2.91-3.10
Mg 0.2930 0.4130 0.8534 [2 per cell]  4 Pb 3.01-3.19, 6 Li 3.03-3.26, 2 Mg 3.30-3.35
Pb 0.4007 0.1793 0.2803 [2 per cell]  6 Li 2.91-3.26, 4 Mg 3.01-3.19

Calculated values
ΔE to the lowest computed polymorph = 0 meV/atom

# 8
Compound: Li6MgPb12
Source: Alexandria via LeMat-Bulk
Functional: GGA-PBE
Structure: relaxed

abc: 12.7925 12.7925 11.4456
angles: 90.00 90.00 120.00
Closest atoms and distances in Å follow each position.
Space group R-3 (No. 148, hexagonal axes)
Inequivalent atoms, fractional coordinates:
Li 0.0359 0.1631 0.1968 [18 per cell]  6 Pb 3.00-3.21, 2 Li 3.29
Mg 0.0000 0.0000 0.5000 [3 per cell]  6 Pb 3.15
Pb 0.0659 0.4674 0.1080 [18 per cell]  2 Li 3.00-3.04, 1 Mg 3.15, 3 Pb 3.24-3.32
Pb 0.0667 0.4747 0.6082 [18 per cell]  4 Li 3.00-3.21, 5 Pb 3.24-3.33

# 9
Compound: Li5MgPb
Source: Alexandria via LeMat-Bulk
Functional: GGA-PBE
Structure: relaxed

abc: 10.1316 5.7157 10.6133
angles: 90.00 112.80 90.00
Closest atoms and distances in Å follow each position.
Space group C2/c (No. 15)
Inequivalent atoms, fractional coordinates:
Li 0.0000 0.0648 0.2500 [4 per cell]  2 Li 2.55, 1 Mg 2.66
Li 0.0665 0.2268 0.9989 [8 per cell]  3 Li 2.75-2.97, 1 Mg 2.83
Li 0.2270 0.1356 0.7561 [8 per cell]  2 Li 2.55-2.75
Mg 0.0000 0.4701 0.7500 [4 per cell]  7 Li 2.66-2.97
Pb 0.2500 0.2500 0.5000 [4 per cell]  6 Li 2.89-3.21

# 10
Compound: Li2Mg3Pb3
Source: Alexandria via LeMat-Bulk
Functional: GGA-PBE
Structure: relaxed

abc: 7.8883 7.8883 3.5332
angles: 90.00 90.00 120.00
Closest atoms and distances in Å follow each position.
Space group P-62m (No. 189)
Inequivalent atoms, fractional coordinates:
Li 0.3333 0.6667 0.0000 [2 per cell]  6 Pb 3.02, 3 Mg 3.05
Mg 0.0000 0.7572 0.0000 [3 per cell]  2 Li 3.05, 4 Pb 3.19, 2 Mg 3.32
Pb 0.0000 0.3841 0.5000 [3 per cell]  4 Li 3.02, 4 Mg 3.19

Calculated values
ΔE to the lowest computed polymorph = 23 meV/atom

# 11
Compound: Li2MgPb
Source: Alexandria via LeMat-Bulk
Functional: GGA-PBE
Structure: relaxed

abc: 3.2839 3.2839 29.6583
angles: 90.00 90.00 120.00
Closest atoms and distances in Å follow each position.
Space group R-3m (No. 166, hexagonal axes)
Inequivalent atoms, fractional coordinates:
Li 0.0000 0.0000 0.2474 [6 per cell]  3 Pb 3.05, 3 Mg 3.18, 6 Li 3.28
Mg 0.0000 0.0000 0.0000 [3 per cell]  6 Li 3.18, 6 Mg 3.28
Pb 0.0000 0.0000 0.5000 [3 per cell]  6 Li 3.05, 6 Pb 3.28

# 12
Compound: LiMgPb5
Source: Alexandria via LeMat-Bulk
Functional: GGA-PBE
Structure: relaxed

abc: 5.2139 8.3307 10.9213
angles: 90.00 90.00 90.00
Closest atoms and distances in Å follow each position.
Space group Immm (No. 71)
Inequivalent atoms, fractional coordinates:
Li 0.0000 0.0000 0.0000 [2 per cell]  6 Pb 2.58-2.61
Mg 0.0000 0.0000 0.5000 [2 per cell]  6 Pb 2.88-3.05
Pb 0.0000 0.0000 0.2364 [4 per cell]  1 Li 2.58, 1 Mg 2.88
Pb 0.0000 0.3103 0.0000 [4 per cell]  1 Li 2.58
Pb 0.0000 0.5000 0.5000 [2 per cell]  2 Li 2.61

Calculated values
ΔE to the lowest computed polymorph = 316 meV/atom

# 13
Compound: Li2MgPb2
Source: Alexandria via LeMat-Bulk
Functional: GGA-PBE
Structure: relaxed

abc: 7.9853 7.9853 3.5510
angles: 90.00 90.00 90.00
Closest atoms and distances in Å follow each position.
Space group P4/mbm (No. 127)
Inequivalent atoms, fractional coordinates:
Li 0.1194 0.3806 0.0000 [4 per cell]  1 Li 2.70, 2 Pb 2.87
Mg 0.0000 0.0000 0.0000 [2 per cell]  4 Li 3.19, 8 Pb 3.43, 2 Mg 3.55
Pb 0.1805 0.6805 0.5000 [4 per cell]  6 Li 2.87-3.02

Calculated values
ΔE to the lowest computed polymorph = 16 meV/atom

# 14
Compound: LiMg2Pb4
Source: Alexandria via LeMat-Bulk
Functional: GGA-PBE
Structure: relaxed

abc: 5.3190 6.8799 10.7345
angles: 90.00 103.01 90.00
Closest atoms and distances in Å follow each position.
Space group P2_1/m (No. 11)
Inequivalent atoms, fractional coordinates:
Li 0.0713 0.2500 0.1624 [2 per cell]  2 Pb 2.92-2.97, 2 Mg 3.08-3.12
Mg 0.2129 0.7500 0.4112 [2 per cell]  3 Pb 3.03-3.11
Mg 0.4975 0.2500 0.0099 [2 per cell]  4 Pb 2.99-3.25, 2 Li 3.08-3.12
Pb 0.0635 0.7500 0.1215 [2 per cell]  1 Li 2.97, 3 Mg 2.99-3.03
Pb 0.2136 0.2500 0.4412 [2 per cell]  1 Li 2.92, 2 Mg 3.05-3.11
Pb 0.3673 0.5039 0.7245 [4 per cell]  4 Mg 3.25-3.56, 2 Li 3.33-3.41, 7 Pb 3.39-3.62

Calculated values
ΔE to the lowest computed polymorph = 50 meV/atom

# 15
Compound: Li2MgPb
Source: Alexandria via LeMat-Bulk
Functional: GGA-PBE
Structure: relaxed

abc: 3.2611 5.2680 5.3626
angles: 97.73 90.59 107.05
Closest atoms and distances in Å follow each position.
Space group P1 (No. 1)
Inequivalent atoms, fractional coordinates:
Li 0.0000 0.0000 0.0000 [1 per cell]  5 Li 2.98-3.26, 3 Pb 3.00-3.07, 4 Mg 3.09-3.18
Li 0.2370 0.4834 0.7382 [1 per cell]  5 Li 2.98-3.26, 3 Mg 3.00-3.08, 4 Pb 3.07-3.21
Mg 0.4973 0.9905 0.5051 [1 per cell]  7 Li 3.00-3.18, 3 Pb 3.10-3.21, 2 Mg 3.26
Pb 0.7409 0.4899 0.2266 [1 per cell]  7 Li 3.00-3.21, 3 Mg 3.10-3.21, 2 Pb 3.26

# 16
Compound: Li2MgPb
Source: Alexandria via LeMat-Bulk
Functional: GGA-PBE
Structure: relaxed

abc: 6.8111 6.8111 6.8111
angles: 90.00 90.00 90.00
Closest atoms and distances in Å follow each position.
Space group Fm-3m (No. 225)
Inequivalent atoms, fractional coordinates:
Li 0.2500 0.2500 0.2500 [8 per cell]  4 Pb 2.95, 4 Mg 2.95
Mg 0.0000 0.0000 0.0000 [4 per cell]  8 Li 2.95
Pb 0.0000 0.0000 0.5000 [4 per cell]  8 Li 2.95

# 17
Compound: Li6Mg5Pb
Source: Alexandria via LeMat-Bulk
Functional: GGA-PBE
Structure: relaxed

abc: 8.5411 14.2976 4.7349
angles: 90.00 123.43 90.00
Closest atoms and distances in Å follow each position.
Space group C2/m (No. 12)
Inequivalent atoms, fractional coordinates:
Li 0.2443 0.0000 0.2443 [4 per cell]  2 Pb 2.93-2.94, 6 Mg 2.97-2.99
Li 0.2491 0.1655 0.7489 [8 per cell]  7 Mg 2.95-3.01, 1 Pb 2.96
Mg 0.0000 0.1691 0.0000 [4 per cell]  8 Li 2.95-2.98
Mg 0.0000 0.3357 0.5000 [4 per cell]  8 Li 2.96-3.01
Mg 0.0000 0.5000 0.0000 [2 per cell]  8 Li 2.97-2.99
Pb 0.0000 0.0000 0.5000 [2 per cell]  8 Li 2.93-2.96

Calculated values
ΔE to the lowest computed polymorph = 0 meV/atom

# 18
Compound: Li6Mg5Pb
Source: Alexandria via LeMat-Bulk
Functional: GGA-PBE
Structure: relaxed

abc: 10.4209 11.4177 4.7428
angles: 90.00 116.93 90.00
Closest atoms and distances in Å follow each position.
Space group C2/m (No. 12)
Inequivalent atoms, fractional coordinates:
Li 0.2383 0.0000 0.2387 [4 per cell]  4 Mg 3.01, 4 Li 3.02, 2 Pb 3.24-3.25
Li 0.2416 0.1638 0.7412 [8 per cell]  1 Pb 2.92, 5 Mg 3.00-3.27, 4 Li 3.02-3.09
Mg 0.0000 0.1782 0.0000 [4 per cell]  8 Li 3.00-3.27, 2 Mg 3.03, 2 Pb 3.12
Mg 0.0000 0.3440 0.5000 [4 per cell]  4 Mg 2.97-3.03, 4 Li 3.01-3.04
Mg 0.0000 0.5000 0.0000 [2 per cell]  4 Mg 2.97, 4 Li 3.04
Pb 0.0000 0.0000 0.5000 [2 per cell]  8 Li 2.92-3.25, 4 Mg 3.12

Calculated values
ΔE to the lowest computed polymorph = 29 meV/atom

# 19
Compound: Li3Mg2Pb2
Source: Alexandria via LeMat-Bulk
Functional: GGA-PBE
Structure: relaxed

abc: 4.8341 3.1873 11.1244
angles: 90.00 102.07 90.00
Closest atoms and distances in Å follow each position.
Space group P2/m (No. 10)
Inequivalent atoms, fractional coordinates:
Li 0.0000 0.0000 0.0000 [1 per cell]  2 Mg 3.11, 2 Li 3.19, 8 Pb 3.35-3.42
Li 0.2829 0.0000 0.5707 [2 per cell]  4 Li 2.86-3.19, 3 Mg 2.88-3.10
Mg 0.1480 0.0000 0.2858 [2 per cell]  4 Li 2.88-3.11, 2 Mg 3.19, 4 Pb 3.20
Pb 0.4129 0.5000 0.8391 [2 per cell]  3 Pb 3.19-3.50, 4 Mg 3.20, 6 Li 3.33-3.42

Calculated values
ΔE to the lowest computed polymorph = 168 meV/atom

# 20
Compound: LiMg7Pb4
Source: Alexandria via LeMat-Bulk
Functional: GGA-PBE
Structure: relaxed

abc: 15.0828 5.1937 10.9729
angles: 90.00 130.17 90.00
Closest atoms and distances in Å follow each position.
Space group C2/m (No. 12)
Inequivalent atoms, fractional coordinates:
Li 0.0000 0.0000 0.0000 [2 per cell]  2 Mg 2.60
Mg 0.0000 0.5000 0.0000 [2 per cell]  2 Li 2.60, 2 Pb 2.80
Mg 0.0440 0.0000 0.4021 [4 per cell]  4 Pb 2.98-3.10, 1 Mg 3.17
Mg 0.1701 0.5000 0.8736 [4 per cell]  4 Pb 3.01-3.07
Mg 0.2313 0.0000 0.3326 [4 per cell]  5 Pb 2.96-3.31, 1 Li 3.01
Pb 0.0880 0.5000 0.3155 [4 per cell]  5 Mg 2.80-3.01
Pb 0.2156 0.0000 0.7719 [4 per cell]  8 Mg 3.05-3.29

Calculated values
ΔE to the lowest computed polymorph = 117 meV/atom

# 21
Compound: LiMg3Pb4
Source: Alexandria via LeMat-Bulk
Functional: GGA-PBE
Structure: relaxed

abc: 3.7699 3.7699 14.3373
angles: 90.00 90.00 90.00
Closest atoms and distances in Å follow each position.
Space group P4/mmm (No. 123)
Inequivalent atoms, fractional coordinates:
Li 0.0000 0.0000 0.0000 [1 per cell]  8 Pb 3.18, 2 Mg 3.52
Mg 0.0000 0.0000 0.2455 [2 per cell]  8 Pb 3.21-3.23, 1 Li 3.52
Mg 0.0000 0.0000 0.5000 [1 per cell]  8 Pb 3.23
Pb 0.5000 0.5000 0.1212 [2 per cell]  4 Li 3.18, 4 Mg 3.21, 1 Pb 3.48
Pb 0.5000 0.5000 0.3732 [2 per cell]  8 Mg 3.23, 1 Pb 3.61

Calculated values
ΔE to the lowest computed polymorph = 0 meV/atom

# 22
Compound: LiMg2Pb8
Source: Alexandria via LeMat-Bulk
Functional: GGA-PBE
Structure: relaxed

abc: 9.6225 12.4431 5.5065
angles: 90.00 99.87 90.00
Closest atoms and distances in Å follow each position.
Space group C2/m (No. 12)
Inequivalent atoms, fractional coordinates:
Li 0.0000 0.0000 0.0000 [2 per cell]  4 Pb 2.98-3.26
Mg 0.0000 0.3687 0.5000 [4 per cell]  8 Pb 3.05-3.37, 1 Mg 3.27
Pb 0.0000 0.2619 0.0000 [4 per cell]  2 Mg 3.06, 1 Li 3.26
Pb 0.1785 0.1350 0.5859 [8 per cell]  2 Mg 3.21-3.37, 6 Pb 3.36-3.58, 1 Li 3.51
Pb 0.1854 0.5000 0.8981 [4 per cell]  1 Li 2.98, 2 Mg 3.05

# 23
Compound: LiMgPb5
Source: Alexandria via LeMat-Bulk
Functional: GGA-PBE
Structure: relaxed

abc: 15.7463 8.1211 6.4990
angles: 90.00 107.89 90.00
Closest atoms and distances in Å follow each position.
Space group C2/c (No. 15)
Inequivalent atoms, fractional coordinates:
Li 0.0000 0.2412 0.2500 [4 per cell]  5 Pb 2.96-3.18
Mg 0.2500 0.2500 0.0000 [4 per cell]  8 Pb 3.10-3.33
Pb 0.0000 0.1502 0.7500 [4 per cell]  3 Li 3.18-3.33, 4 Pb 3.43-3.51
Pb 0.1154 0.4921 0.6383 [8 per cell]  2 Li 3.05-3.32, 2 Pb 3.25, 2 Mg 3.29-3.30
Pb 0.1756 0.1035 0.4970 [8 per cell]  1 Li 2.96, 1 Mg 3.10

Calculated values
ΔE to the lowest computed polymorph = 0 meV/atom

Number 1: ΔE_f -0.1364 eV per atom. Number 2: ΔE_f -0.0708 eV per atom. Number 3: ΔE_f -0.0266 eV per atom. Number 4: ΔE_f -0.1650 eV per atom. Number 5: ΔE_f -0.0249 eV per atom. Number 6: ΔE_f -0.2299 eV per atom. Number 7: ΔE_f -0.2148 eV per atom. Number 8: ΔE_f -0.0181 eV per atom. Number 9: ΔE_f -0.0816 eV per atom. Number 10: ΔE_f -0.1224 eV per atom. Number 11: ΔE_f -0.1120 eV per atom. Number 12: ΔE_f 0.2920 eV per atom. Number 13: ΔE_f -0.1689 eV per atom. Number 14: ΔE_f -0.0250 eV per atom. Number 15: ΔE_f -0.1760 eV per atom. Number 16: ΔE_f -0.2569 eV per atom. Number 17: ΔE_f -0.1212 eV per atom. Number 18: ΔE_f -0.0920 eV per atom. Number 19: ΔE_f -0.0468 eV per atom. Number 20: ΔE_f 0.0781 eV per atom. Number 21: ΔE_f -0.1099 eV per atom. Number 22: ΔE_f 0.0040 eV per atom. Number 23: ΔE_f -0.0243 eV per atom.